[1]
The following is a meta-GGA SCAN calculation of a PBEsol-optimized structure of CaZnTe2, from Alexandria.

Calculated values
* ΔE_f (raw): -1.0096 eV per atom
* magnetic moment: 0.00 μB/f.u.

a = 4.4844 Å, b = 4.3341 Å, c = 6.3513 Å
α = 90.00°, β = 95.01°, γ = 90.00°
Positions (direct):
Ca: 0.0000 0.0000 0.0000
Zn: 0.2463 0.5000 0.6222
Te: 0.5013 0.5000 0.0046
Te: 0.9709 0.0000 0.4916

[2]
The following is a meta-GGA SCAN calculation of a PBEsol-optimized structure of Ca3ZnTe, from Alexandria.

Calculated values
* ΔE_f (raw): -0.3942 eV per atom
* magnetic moment: 0.50 μB/f.u.

a = 5.5022 Å, b = 5.5022 Å, c = 5.5022 Å
α = 90.00°, β = 90.00°, γ = 90.00°
Positions (direct):
Ca: 0.0000 0.0000 0.5000
Ca: 0.0000 0.5000 0.0000
Ca: 0.5000 0.0000 0.0000
Zn: 0.0000 0.0000 0.0000
Te: 0.5000 0.5000 0.5000

[3]
The following is a meta-GGA SCAN calculation of a PBEsol-optimized structure of CaZrTe2, from Alexandria.

Calculated values
* ΔE_f (raw): -0.7917 eV per atom
* magnetic moment: 2.01 μB/f.u.

a = 8.3591 Å, b = 8.3591 Å, c = 8.3591 Å
α = 133.28°, β = 133.28°, γ = 68.22°
Positions (direct):
Ca: 0.0000 0.0000 0.0000
Ca: 0.7500 0.2500 0.5000
Zr: 0.2500 0.7500 0.5000
Zr: 0.5000 0.5000 0.0000
Te: 0.1539 0.6250 0.0289
Te: 0.3750 0.4039 0.5289
Te: 0.5961 0.1250 0.9711
Te: 0.8750 0.8461 0.4711

[4]
The following is a meta-GGA SCAN calculation of a PBEsol-optimized structure of Ca4ZrTe, from Alexandria.

Calculated values
* ΔE_f (raw): 0.3203 eV per atom
* magnetic moment: 4.04 μB/f.u.

a = 6.4829 Å, b = 6.4829 Å, c = 6.4829 Å
α = 60.00°, β = 60.00°, γ = 60.00°
Positions (direct):
Ca: 0.1244 0.1244 0.1244
Ca: 0.1244 0.1244 0.6268
Ca: 0.1244 0.6268 0.1244
Ca: 0.6268 0.1244 0.1244
Zr: 0.7500 0.7500 0.7500
Te: 0.5000 0.5000 0.5000

[5]
The following is a meta-GGA SCAN calculation of a PBEsol-optimized structure of Ca2Y2Ti, from Alexandria.

Calculated values
* energy of formation from the pure elements: 0.697 eV/atom
* magnetic moment: 4.11 μB/f.u.

a = 9.6961 Å, b = 9.6961 Å, c = 9.6961 Å
α = 154.51°, β = 154.51°, γ = 36.36°
Positions (direct):
Ca: 0.0910 0.0910 0.0000
Ca: 0.9090 0.9090 0.0000
Y: 0.2500 0.7500 0.5000
Y: 0.7500 0.2500 0.5000
Ti: 0.5000 0.5000 0.0000

[6]
The following is a meta-GGA SCAN calculation of a PBEsol-optimized structure of CaTi3Zn, from Alexandria.

Calculated values
* energy of formation from the pure elements: 0.653 eV/atom
* magnetic moment: 2.46 μB/f.u.

a = 4.8063 Å, b = 4.8063 Å, c = 4.8063 Å
α = 90.00°, β = 90.00°, γ = 90.00°
Positions (direct):
Ca: 0.0000 0.0000 0.0000
Ti: 0.0000 0.5000 0.5000
Ti: 0.5000 0.0000 0.5000
Ti: 0.5000 0.5000 0.0000
Zn: 0.5000 0.5000 0.5000

magnetic moment of number 1 (CaZnTe2)?
0.00 μB/f.u.

Among the records above, which one has the highest magnetic moment?
Ca2Y2Ti